Record 1
This record from Alexandria describes Tb4ZnI5 after structural relaxation. The functional is PBE.

Summary:
Formation energy (no corrections) ... -10.1 eV/f.u.
Symmetry ... C2/m, No. 12
Calculated total energy ... -37.60 eV per cell
Total moment ... 0.00 μB per formula unit

Cell: 4.121 8.974 9.820 Å, 102.20 102.11 90.00°
Atoms (fractional coordinates):
Tb (0.352, 0.925, 0.704)
Tb (0.000, 0.782, 0.000)
Tb (0.648, 0.075, 0.296)
Tb (0.000, 0.218, 0.000)
Zn (0.500, 0.000, 0.000)
I (0.833, 0.659, 0.666)
I (0.826, 0.173, 0.651)
I (0.174, 0.827, 0.349)
I (0.500, 0.500, 0.000)
I (0.167, 0.341, 0.334)

Record 2
This record from Alexandria describes Tb3ZnI3 after structural relaxation. The functional is PBE.

Summary:
Formation energy (no corrections) ... -6.2 eV/f.u.
Symmetry ... I4_132, No. 214
Calculated total energy ... -103.88 eV per cell
Total moment ... 0.00 μB per formula unit

Cell: 10.559 10.559 10.559 Å, 109.47 109.47 109.47°
Atoms (fractional coordinates):
Tb (0.967, 0.483, 0.233)
Tb (0.517, 0.033, 0.267)
Tb (0.250, 0.017, 0.483)
Tb (0.983, 0.750, 0.017)
Tb (0.983, 0.233, 0.467)
Tb (0.767, 0.017, 0.033)
Tb (0.733, 0.467, 0.483)
Tb (0.767, 0.750, 0.233)
Tb (0.533, 0.267, 0.017)
Tb (0.250, 0.233, 0.267)
Tb (0.733, 0.267, 0.750)
Tb (0.517, 0.483, 0.750)
Zn (0.750, 0.500, 0.000)
Zn (0.500, 0.250, 0.500)
Zn (0.750, 0.250, 0.250)
Zn (0.000, 0.000, 0.250)
I (0.242, 0.992, 0.983)
I (0.750, 0.758, 0.742)
I (0.483, 0.742, 0.992)
I (0.008, 0.250, 0.992)
I (0.258, 0.742, 0.250)
I (0.492, 0.508, 0.250)
I (0.242, 0.250, 0.758)
I (0.258, 0.517, 0.508)
I (0.750, 0.992, 0.508)
I (0.017, 0.508, 0.758)
I (0.008, 0.758, 0.517)
I (0.492, 0.983, 0.742)

Record 3
This record from Alexandria describes Tb2ZnI after structural relaxation. The functional is PBE.

Summary:
Energy above the most stable polymorph in this dataset ... 4.0 meV/atom
Formation energy (no corrections) ... -2.0 eV/f.u.
Symmetry ... R-3m, No. 166
Calculated total energy ... -14.12 eV per cell
Total moment ... 0.00 μB per formula unit

Cell: 4.096 4.096 8.178 Å, 75.50 75.50 60.00°
Atoms (fractional coordinates):
I (0.500, 0.500, 0.500)
Zn (0.000, 0.000, 0.000)
Tb (0.737, 0.737, 0.788)
Tb (0.263, 0.263, 0.212)

Record 4
This record from Alexandria describes TcI after structural relaxation. The functional is PBE.

Summary:
Energy above the most stable polymorph in this dataset ... 0.0 meV/atom
Formation energy (no corrections) ... 0.6 eV/f.u.
Symmetry ... C2/m, No. 12
Calculated total energy ... -45.42 eV per cell
Total moment ... 0.00 μB per formula unit

Cell: 8.673 4.115 6.452 Å, 90.00 101.38 90.00°
Atoms (fractional coordinates):
I (0.770, 0.000, 0.630)
I (0.230, 0.000, 0.370)
I (0.770, 0.500, 0.130)
I (0.230, 0.500, 0.870)
Tc (0.558, 0.000, 0.170)
Tc (0.442, 0.000, 0.830)
Tc (0.558, 0.500, 0.670)
Tc (0.442, 0.500, 0.330)

Record 5
This record from Alexandria describes TcI after structural relaxation. The functional is PBE.

Summary:
Energy above the most stable polymorph in this dataset ... 243.0 meV/atom
Formation energy (no corrections) ... 1.0 eV/f.u.
Symmetry ... P1, No. 1
Calculated total energy ... -21.74 eV per cell
Total moment ... 0.00 μB per formula unit

Cell: 4.037 4.823 5.888 Å, 71.01 82.34 82.47°
Atoms (fractional coordinates):
I (0.965, 0.327, 0.983)
I (0.450, 0.679, 0.405)
Tc (0.086, 0.934, 0.709)
Tc (0.695, 0.128, 0.470)

Record 6
This record from Alexandria describes TcI3 after structural relaxation. The functional is PBE.

Summary:
Energy above the most stable polymorph in this dataset ... 3.4 meV/atom
Formation energy (no corrections) ... 0.7 eV/f.u.
Symmetry ... P2_1/m, No. 11
Calculated total energy ... -28.70 eV per cell
Total moment ... 2.01 μB per formula unit

Cell: 3.616 11.854 7.818 Å, 92.47 90.00 90.00°
Atoms (fractional coordinates):
Tc (0.250, 0.259, 0.665)
Tc (0.750, 0.741, 0.335)
I (0.750, 0.223, 0.400)
I (0.750, 0.126, 0.835)
I (0.750, 0.426, 0.760)
I (0.250, 0.777, 0.600)
I (0.250, 0.874, 0.165)
I (0.250, 0.574, 0.240)

Record 7
This record from Alexandria describes TcI4 after structural relaxation. The functional is PBE.

Summary:
Energy above the most stable polymorph in this dataset ... 422.4 meV/atom
Formation energy (no corrections) ... 1.8 eV/f.u.
Symmetry ... Pm-3m, No. 221
Calculated total energy ... -14.78 eV per cell
Total moment ... 2.07 μB per formula unit

Cell: 5.500 5.500 5.500 Å, 90.00 90.00 90.00°
Atoms (fractional coordinates):
I (0.000, 0.000, 0.000)
I (0.500, 0.000, 0.500)
I (0.000, 0.500, 0.500)
I (0.500, 0.500, 0.000)
Tc (0.500, 0.500, 0.500)

Record 8
This record from Alexandria describes TcI after structural relaxation. The functional is PBE.

Summary:
Energy above the most stable polymorph in this dataset ... 5.5 meV/atom
Formation energy (no corrections) ... 0.6 eV/f.u.
Symmetry ... Cm, No. 8
Calculated total energy ... -45.38 eV per cell
Total moment ... 0.00 μB per formula unit

Cell: 8.838 3.760 6.681 Å, 90.00 91.68 90.00°
Atoms (fractional coordinates):
I (0.917, 0.000, 0.359)
I (0.917, 0.500, 0.859)
I (0.365, 0.000, 0.696)
I (0.365, 0.500, 0.196)
Tc (0.707, 0.000, 0.660)
Tc (0.707, 0.500, 0.160)
Tc (0.577, 0.000, 0.028)
Tc (0.577, 0.500, 0.528)

Record 9
This record from Alexandria describes TcI after structural relaxation. The functional is PBE.

Summary:
Energy above the most stable polymorph in this dataset ... 790.5 meV/atom
Formation energy (no corrections) ... 2.1 eV/f.u.
Symmetry ... R-3m, No. 166
Calculated total energy ... -29.32 eV per cell
Total moment ... 0.00 μB per formula unit

Cell: 3.320 3.320 12.380 Å, 90.00 90.00 120.00°
Atoms (fractional coordinates):
I (0.000, 0.000, 0.000)
I (0.333, 0.667, 0.667)
I (0.667, 0.333, 0.333)
Tc (0.000, 0.000, 0.500)
Tc (0.333, 0.667, 0.167)
Tc (0.667, 0.333, 0.833)

Record 10
This record from Alexandria describes TcI4 after structural relaxation. The functional is PBE.

Summary:
Energy above the most stable polymorph in this dataset ... 1.0 meV/atom
Formation energy (no corrections) ... -0.3 eV/f.u.
Symmetry ... P2/c, No. 13
Calculated total energy ... -33.78 eV per cell
Total moment ... 3.00 μB per formula unit

Cell: 6.967 8.612 7.377 Å, 90.00 105.52 90.00°
Atoms (fractional coordinates):
Tc (0.750, 0.365, 0.500)
Tc (0.250, 0.635, 0.500)
I (0.517, 0.606, 0.287)
I (0.983, 0.606, 0.713)
I (0.048, 0.843, 0.261)
I (0.452, 0.843, 0.739)
I (0.952, 0.157, 0.739)
I (0.548, 0.157, 0.261)
I (0.017, 0.394, 0.287)
I (0.483, 0.394, 0.713)

Record 11
This record from Alexandria describes TcI3 after structural relaxation. The functional is PBE.

Summary:
Energy above the most stable polymorph in this dataset ... 835.9 meV/atom
Formation energy (no corrections) ... 4.0 eV/f.u.
Symmetry ... Fm-3m, No. 225
Calculated total energy ... -11.02 eV per cell
Total moment ... 4.00 μB per formula unit

Cell: 5.588 5.588 5.588 Å, 60.00 60.00 60.00°
Atoms (fractional coordinates):
I (0.250, 0.250, 0.250)
I (0.750, 0.750, 0.750)
I (0.500, 0.500, 0.500)
Tc (0.000, 0.000, 0.000)

Record 12
This record from Alexandria describes TcI after structural relaxation. The functional is PBE.

Summary:
Energy above the most stable polymorph in this dataset ... 758.3 meV/atom
Formation energy (no corrections) ... 2.1 eV/f.u.
Symmetry ... I4mm, No. 107
Calculated total energy ... -19.68 eV per cell
Total moment ... 0.00 μB per formula unit

Cell: 3.284 3.284 8.151 Å, 90.00 90.00 90.00°
Atoms (fractional coordinates):
I (0.000, 0.000, 0.298)
I (0.500, 0.500, 0.798)
Tc (0.000, 0.000, 0.963)
Tc (0.500, 0.500, 0.463)

Record 13
This record from Alexandria describes Tc4I after structural relaxation. The functional is PBE.

Summary:
Formation energy (no corrections) ... 11.8 eV/f.u.
Symmetry ... Pm-3m, No. 221
Calculated total energy ... -31.20 eV per cell
Total moment ... 2.77 μB per formula unit

Cell: 4.759 4.759 4.759 Å, 90.00 90.00 90.00°
Atoms (fractional coordinates):
I (0.500, 0.500, 0.500)
Tc (0.000, 0.000, 0.000)
Tc (0.500, 0.000, 0.500)
Tc (0.000, 0.500, 0.500)
Tc (0.500, 0.500, 0.000)

Record 14
This record from Alexandria describes TcI after structural relaxation. The functional is PBE.

Summary:
Energy above the most stable polymorph in this dataset ... 30.7 meV/atom
Formation energy (no corrections) ... 0.6 eV/f.u.
Symmetry ... P-1, No. 2
Calculated total energy ... -22.59 eV per cell
Total moment ... 0.00 μB per formula unit

Cell: 3.719 3.761 9.048 Å, 88.91 89.71 60.37°
Atoms (fractional coordinates):
I (0.148, 0.696, 0.779)
I (0.852, 0.304, 0.221)
Tc (0.814, 0.370, 0.567)
Tc (0.186, 0.630, 0.433)

Record 15
This record from Alexandria describes TcI4 after structural relaxation. The functional is PBE.

Summary:
Energy above the most stable polymorph in this dataset ... 0.0 meV/atom
Formation energy (no corrections) ... -0.3 eV/f.u.
Symmetry ... P2_1/c, No. 14
Calculated total energy ... -135.15 eV per cell
Total moment ... 3.00 μB per formula unit

Cell: 6.969 14.363 17.081 Å, 90.27 90.00 90.00°
Atoms (fractional coordinates):
Tc (0.901, 0.371, 0.180)
Tc (0.401, 0.129, 0.820)
Tc (0.099, 0.629, 0.820)
Tc (0.599, 0.871, 0.180)
Tc (0.599, 0.627, 0.684)
Tc (0.099, 0.873, 0.316)
Tc (0.401, 0.373, 0.316)
Tc (0.901, 0.127, 0.684)
I (0.075, 0.267, 0.302)
I (0.575, 0.233, 0.698)
I (0.925, 0.733, 0.698)
I (0.425, 0.767, 0.302)
I (0.228, 0.477, 0.193)
I (0.728, 0.023, 0.807)
I (0.772, 0.523, 0.807)
I (0.272, 0.977, 0.193)
I (0.039, 0.254, 0.075)
I (0.539, 0.246, 0.925)
I (0.961, 0.746, 0.925)
I (0.461, 0.754, 0.075)
I (0.760, 0.487, 0.075)
I (0.260, 0.013, 0.925)
I (0.240, 0.513, 0.925)
I (0.740, 0.987, 0.075)
I (0.425, 0.735, 0.805)
I (0.925, 0.765, 0.195)
I (0.575, 0.265, 0.195)
I (0.075, 0.235, 0.805)
I (0.272, 0.521, 0.699)
I (0.772, 0.979, 0.301)
I (0.728, 0.479, 0.301)
I (0.228, 0.021, 0.699)
I (0.461, 0.741, 0.578)
I (0.961, 0.759, 0.422)
I (0.539, 0.259, 0.422)
I (0.039, 0.241, 0.578)
I (0.738, 0.508, 0.581)
I (0.238, 0.992, 0.419)
I (0.262, 0.492, 0.419)
I (0.762, 0.008, 0.581)

Record 16
This record from Alexandria describes TcI3 after structural relaxation. The functional is PBE.

Summary:
Energy above the most stable polymorph in this dataset ... 0.0 meV/atom
Formation energy (no corrections) ... 0.7 eV/f.u.
Symmetry ... Imm2, No. 44
Calculated total energy ... -14.36 eV per cell
Total moment ... 1.99 μB per formula unit

Cell: 3.612 7.436 7.313 Å, 120.56 104.30 90.00°
Atoms (fractional coordinates):
I (0.350, 0.751, 0.699)
I (0.500, 0.323, 0.000)
I (0.650, 0.051, 0.301)
Tc (0.000, 0.041, 0.000)

Record 17
This record from Alexandria describes TcI3 after structural relaxation. The functional is PBE.

Summary:
Energy above the most stable polymorph in this dataset ... 302.0 meV/atom
Formation energy (no corrections) ... 1.9 eV/f.u.
Symmetry ... I-42d, No. 122
Calculated total energy ... -26.31 eV per cell
Total moment ... 0.00 μB per formula unit

Cell: 7.750 7.750 7.479 Å, 58.79 58.79 90.00°
Atoms (fractional coordinates):
I (0.520, 0.125, 0.250)
I (0.230, 0.625, 0.250)
I (0.375, 0.480, 0.750)
I (0.875, 0.770, 0.750)
I (0.000, 0.000, 0.000)
I (0.750, 0.250, 0.500)
Tc (0.500, 0.500, 0.000)
Tc (0.250, 0.750, 0.500)

Record 18
This record from Alexandria describes TcI after structural relaxation. The functional is PBE.

Summary:
Energy above the most stable polymorph in this dataset ... 216.1 meV/atom
Formation energy (no corrections) ... 1.0 eV/f.u.
Symmetry ... Ama2, No. 40
Calculated total energy ... -43.69 eV per cell
Total moment ... 0.00 μB per formula unit

Cell: 3.882 8.167 7.469 Å, 90.00 90.00 90.00°
Atoms (fractional coordinates):
I (0.250, 0.287, 0.321)
I (0.750, 0.713, 0.321)
I (0.250, 0.787, 0.821)
I (0.750, 0.213, 0.821)
Tc (0.250, 0.922, 0.496)
Tc (0.750, 0.078, 0.496)
Tc (0.250, 0.422, 0.996)
Tc (0.750, 0.578, 0.996)

Record 19
This record from Alexandria describes TcTeI2 after structural relaxation. The functional is PBE.

Summary:
Energy above the most stable polymorph in this dataset ... 0.0 meV/atom
Formation energy (no corrections) ... 3.1 eV/f.u.
Symmetry ... I-42d, No. 122
Calculated total energy ... -27.11 eV per cell
Total moment ... 0.00 μB per formula unit

Cell: 7.600 7.600 7.092 Å, 57.60 57.60 90.00°
Atoms (fractional coordinates):
I (0.548, 0.125, 0.250)
I (0.202, 0.625, 0.250)
I (0.375, 0.452, 0.750)
I (0.875, 0.798, 0.750)
Te (0.000, 0.000, 0.000)
Te (0.750, 0.250, 0.500)
Tc (0.500, 0.500, 0.000)
Tc (0.250, 0.750, 0.500)

Record 20
This record from Alexandria describes Tc2TeI after structural relaxation. The functional is PBE.

Summary:
Energy above the most stable polymorph in this dataset ... 0.0 meV/atom
Formation energy (no corrections) ... 3.0 eV/f.u.
Symmetry ... Fm-3m, No. 225
Calculated total energy ... -22.41 eV per cell
Total moment ... 0.00 μB per formula unit

Cell: 4.720 4.720 4.720 Å, 60.00 60.00 60.00°
Atoms (fractional coordinates):
I (0.500, 0.500, 0.500)
Te (0.000, 0.000, 0.000)
Tc (0.250, 0.250, 0.250)
Tc (0.750, 0.750, 0.750)

Record 21
This record from Alexandria describes TcTeI after structural relaxation. The functional is PBE.

Summary:
Energy above the most stable polymorph in this dataset ... 0.0 meV/atom
Formation energy (no corrections) ... 0.0 eV/f.u.
Symmetry ... Cm, No. 8
Calculated total energy ... -30.11 eV per cell
Total moment ... 0.00 μB per formula unit

Cell: 3.806 7.833 7.551 Å, 61.62 75.38 90.00°
Atoms (fractional coordinates):
Tc (0.241, 0.955, 0.838)
Tc (0.892, 0.987, 0.536)
Te (0.329, 0.728, 0.662)
Te (0.821, 0.229, 0.678)
I (0.093, 0.146, 0.133)
I (0.593, 0.704, 0.133)

Record 22
This record from Alexandria describes Tc2TeI after structural relaxation. The functional is PBE.

Summary:
Energy above the most stable polymorph in this dataset ... 108.0 meV/atom
Formation energy (no corrections) ... 3.4 eV/f.u.
Symmetry ... I-42d, No. 122
Calculated total energy ... -43.96 eV per cell
Total moment ... 0.00 μB per formula unit

Cell: 5.952 5.952 7.300 Å, 65.94 65.94 90.00°
Atoms (fractional coordinates):
I (0.000, 0.000, 0.000)
I (0.750, 0.250, 0.500)
Te (0.500, 0.500, 0.000)
Te (0.250, 0.750, 0.500)
Tc (0.624, 0.125, 0.250)
Tc (0.126, 0.625, 0.250)
Tc (0.375, 0.376, 0.750)
Tc (0.875, 0.874, 0.750)

Record 23
This record from Alexandria describes TcTe2I after structural relaxation. The functional is PBE.

Summary:
Energy above the most stable polymorph in this dataset ... 187.6 meV/atom
Formation energy (no corrections) ... 1.0 eV/f.u.
Symmetry ... I-42d, No. 122
Calculated total energy ... -34.32 eV per cell
Total moment ... 0.00 μB per formula unit

Cell: 7.344 7.344 7.489 Å, 60.64 60.64 90.00°
Atoms (fractional coordinates):
I (0.000, 0.000, 0.000)
I (0.750, 0.250, 0.500)
Te (0.523, 0.125, 0.250)
Te (0.227, 0.625, 0.250)
Te (0.375, 0.477, 0.750)
Te (0.875, 0.773, 0.750)
Tc (0.500, 0.500, 0.000)
Tc (0.250, 0.750, 0.500)

Record 24
This record from Alexandria describes TcTeI after structural relaxation. The functional is PBE.

Summary:
Energy above the most stable polymorph in this dataset ... 6.6 meV/atom
Formation energy (no corrections) ... 0.0 eV/f.u.
Symmetry ... C2/m, No. 12
Calculated total energy ... -30.07 eV per cell
Total moment ... 0.00 μB per formula unit

Cell: 3.559 6.959 7.535 Å, 100.16 90.02 104.80°
Atoms (fractional coordinates):
Tc (0.341, 0.183, 0.528)
Tc (0.659, 0.817, 0.472)
Te (0.800, 0.100, 0.758)
Te (0.200, 0.900, 0.242)
I (0.537, 0.574, 0.734)
I (0.463, 0.426, 0.266)